SrLiNiAs, relaxed, DFT PBE-GGA; total DFT energy (no corrections) = -14.8 eV/cell; space group = F-43m (216); polymorph energy (0 for the lowest one) = 9.2 kJ/mol of atoms
1.0
-4.512 -1.386 0.225
-3.187 2.680 2.235
-3.305 2.300 -2.474
As Li Ni Sr
1 1 1 1
direct
0.250 0.250 0.250 As
0.750 0.750 0.750 Li
0.500 0.500 0.500 Ni
0.000 0.000 0.000 Sr

Pu2Se, relaxed, DFT PBE-GGA; total DFT energy (no corrections) = -60.2 eV/cell; space group = Fd-3m (227)
1.0
-5.297 -7.416 1.030
2.973 -7.102 4.984
-3.822 -1.810 8.138
Pu Se
4 2
direct
0.375 0.375 0.375 Pu
0.875 0.375 0.375 Pu
0.375 0.875 0.375 Pu
0.375 0.375 0.875 Pu
0.250 0.250 0.250 Se
0.500 0.500 0.500 Se

Na2Mg2In2PtAu, relaxed, DFT PBE-GGA; total DFT energy (no corrections) = -23.2 eV/cell; space group = P-4m2 (115)
1.0
-0.271 -3.436 3.325
3.497 2.129 2.485
-4.644 3.658 3.402
Au In Mg Na Pt
1 2 2 2 1
direct
0.000 0.000 0.000 Au
0.000 0.500 0.259 In
0.500 0.000 0.741 In
0.500 0.000 0.258 Mg
0.000 0.500 0.742 Mg
0.500 0.500 0.000 Na
0.000 0.000 0.500 Na
0.500 0.500 0.500 Pt

ZrZn2Tc, relaxed, DFT PBE-GGA; total DFT energy (no corrections) = -21.4 eV/cell; space group = F-43m (216); E_form = 1.7 kJ per mole of atoms
1.0
0.000 3.204 3.204
3.204 0.000 3.204
3.204 3.204 0.000
Tc Zn Zr
1 2 1
direct
0.750 0.750 0.750 Tc
0.000 0.000 0.000 Zn
0.250 0.250 0.250 Zn
0.500 0.500 0.500 Zr

MgInNi2, relaxed, DFT PBE-GGA; total DFT energy (no corrections) = -97.7 eV/cell; space group = I4/mmm (139)
1.0
4.370 0.000 0.000
0.000 6.142 0.000
0.000 0.000 13.118
In Mg Ni
6 6 12
direct
0.000 0.000 0.000 In
0.500 0.500 0.167 In
0.000 0.000 0.333 In
0.500 0.500 0.500 In
0.000 0.000 0.667 In
0.500 0.500 0.833 In
0.000 0.500 0.000 Mg
0.500 0.000 0.167 Mg
0.000 0.500 0.333 Mg
0.500 0.000 0.500 Mg
0.000 0.500 0.667 Mg
0.500 0.000 0.833 Mg
0.500 0.250 0.000 Ni
0.500 0.750 0.000 Ni
0.000 0.250 0.167 Ni
0.000 0.750 0.167 Ni
0.500 0.250 0.333 Ni
0.500 0.750 0.333 Ni
0.000 0.250 0.500 Ni
0.000 0.750 0.500 Ni
0.500 0.250 0.667 Ni
0.500 0.750 0.667 Ni
0.000 0.250 0.833 Ni
0.000 0.750 0.833 Ni

MgZn2SnPd4, relaxed, DFT PBE-GGA; total DFT energy (no corrections) = -33.4 eV/cell; space group = P4/mmm (123)
1.0
4.479 0.000 0.000
0.000 4.479 0.000
0.000 0.000 6.320
Mg Pd Sn Zn
1 4 1 2
direct
0.000 0.000 0.500 Mg
0.500 0.000 0.251 Pd
0.000 0.500 0.251 Pd
0.500 0.000 0.749 Pd
0.000 0.500 0.749 Pd
0.500 0.500 0.000 Sn
0.000 0.000 0.000 Zn
0.500 0.500 0.500 Zn

MgTePtO, relaxed, DFT PBE-GGA; total DFT energy (no corrections) = -40.8 eV/cell; space group = P4/nmm (129); polymorph energy (0 for the lowest one) = 5.0 kJ/mol of atoms
1.0
3.821 0.000 0.000
0.000 3.821 0.000
0.000 0.000 9.385
Mg O Pt Te
2 2 2 2
direct
0.750 0.750 0.454 Mg
0.250 0.250 0.546 Mg
0.750 0.250 0.500 O
0.250 0.750 0.500 O
0.750 0.750 0.098 Pt
0.250 0.250 0.902 Pt
0.250 0.250 0.184 Te
0.750 0.750 0.816 Te

Dy2ErFeSn3Ir2, relaxed, DFT PBE-GGA; total DFT energy (no corrections) = -58.0 eV/cell; space group = Amm2 (38)
1.0
3.755 0.000 0.000
0.000 6.566 3.796
0.000 -6.566 3.796
Dy Er Fe Ir Sn
2 1 1 2 3
direct
0.000 0.408 0.000 Dy
0.000 0.000 0.408 Dy
0.000 0.593 0.593 Er
0.000 0.999 0.999 Fe
0.500 0.666 0.335 Ir
0.500 0.335 0.666 Ir
0.500 0.257 0.257 Sn
0.500 0.000 0.743 Sn
0.500 0.743 0.000 Sn

SrDyTm, relaxed, DFT PBE-GGA; total DFT energy (no corrections) = -8.3 eV/cell; space group = F-43m (216)
1.0
-0.251 -4.075 -3.988
-4.981 -1.257 -2.486
-0.899 1.401 -5.459
Dy Sr Tm
1 1 1
direct
0.250 0.250 0.250 Dy
0.750 0.750 0.750 Sr
0.000 0.000 0.000 Tm

CsMgAg, relaxed, DFT PBE-GGA; total DFT energy (no corrections) = -4.3 eV/cell; space group = F-43m (216); polymorph energy (0 for the lowest one) = 0.0 kJ/mol of atoms
1.0
0.000 4.004 4.004
4.004 0.000 4.004
4.004 4.004 0.000
Ag Cs Mg
1 1 1
direct
0.000 0.000 0.000 Ag
0.250 0.250 0.250 Cs
0.750 0.750 0.750 Mg

K2CdC2O6, relaxed, DFT PBE-GGA; total DFT energy (no corrections) = -133.0 eV/cell; space group = P6_3mc (186)
1.0
5.260 0.000 0.000
-2.630 4.556 0.000
0.000 0.000 13.068
C Cd K O
4 2 4 12
direct
0.000 0.000 0.270 C
0.333 0.667 0.484 C
0.000 0.000 0.770 C
0.667 0.333 0.984 C
0.000 0.000 0.462 Cd
0.000 0.000 0.962 Cd
0.333 0.667 0.137 K
0.667 0.333 0.315 K
0.667 0.333 0.637 K
0.333 0.667 0.815 K
0.142 0.284 0.273 O
0.142 0.858 0.273 O
0.716 0.858 0.273 O
0.476 0.524 0.485 O
0.049 0.524 0.485 O
0.476 0.951 0.485 O
0.284 0.142 0.773 O
0.858 0.142 0.773 O
0.858 0.716 0.773 O
0.524 0.049 0.985 O
0.951 0.476 0.985 O
0.524 0.476 0.985 O

LuZnNiBi, relaxed, DFT PBE-GGA; total DFT energy (no corrections) = -15.7 eV/cell; space group = F-43m (216)
1.0
0.000 3.422 3.422
3.422 0.000 3.422
3.422 3.422 0.000
Bi Lu Ni Zn
1 1 1 1
direct
0.000 0.000 0.000 Bi
0.250 0.250 0.250 Lu
0.750 0.750 0.750 Ni
0.500 0.500 0.500 Zn

- Among the records above, which one has the highest total DFT energy (no corrections)?
  CsMgAg